Record 1
## TlZnCo2 (PBE)

Data for crystalline TlZnCo2 at its relaxed geometry.

## Properties
- energy relative to the lowest polymorph listed for this composition (eV/atom) = 0.1885
- total energy (eV/atom) = -3.98
- DOS at the Fermi energy (states/eV per atom) = 1.493
- formation energy (meV/atom) = 486.3
- M_tot (μB/atom) = 0.691

Cell and atoms, written as POSCAR:
```
TlZnCo2
1.0
6.1751 0.0000 0.0000
0.0000 6.1751 0.0000
0.0000 0.0000 6.1751
Tl Zn Co
4 4 8
direct
0.0000 0.0000 0.0000
0.0000 0.5000 0.5000
0.5000 0.0000 0.5000
0.5000 0.5000 0.0000
0.2500 0.2500 0.2500
0.2500 0.7500 0.7500
0.7500 0.2500 0.7500
0.7500 0.7500 0.2500
0.0000 0.0000 0.5000
0.0000 0.5000 0.0000
0.2500 0.2500 0.7500
0.2500 0.7500 0.2500
0.5000 0.0000 0.0000
0.5000 0.5000 0.5000
0.7500 0.2500 0.2500
0.7500 0.7500 0.7500
```

=====

Record 2
## Fe2CuMo (PBE)

Data for crystalline Fe2CuMo at its relaxed geometry.

## Properties
- energy relative to the lowest polymorph listed for this composition (eV/atom) = 0.0418
- total energy (eV/atom) = -7.77
- DOS at the Fermi energy (states/eV per atom) = 0.944
- formation energy (meV/atom) = 191.5
- M_tot (μB/atom) = 0.996

Cell and atoms, written as POSCAR:
```
Fe2CuMo
1.0
2.5385 0.0000 0.0000
0.0000 4.1388 0.0000
-1.0399 0.0000 4.8579
Fe Cu Mo
2 1 1
direct
0.0000 0.0000 0.0000
0.2169 0.5000 0.7677
0.3991 0.0000 0.5244
0.7315 0.5000 0.2577
```

=====

Question: The highest M_tot belongs to which entry?
Answer: Fe2CuMo

=====

Question: Look up the total energy of the first one.
Answer: -3.98 eV/atom